First-principles (meta-GGA SCAN) data for a PBEsol-optimized structure of CaCrIn, as listed in Alexandria.

Geometry as extended XYZ:
```
3
Lattice="3.671 0.000 0.000 0.000 3.671 0.000 -1.835 -1.835 5.248" Properties=species:S:1:pos:R:3 pbc="T T T"
Cr 0.000 0.000 3.228
Ca 0.000 0.000 0.011
In 1.835 1.835 2.008
```

Summary:
* total energy: -61.7 eV per cell